This record from Alexandria describes crystalline TaCo2Pd at its relaxed geometry. The functional is PBE.

abc: 5.3906 5.3906 10.5878
angles: 90.00 90.00 90.00
With the nearest neighbours (Å) after each atom.
Fractional coordinates of all 16 atoms:
Ta 0.0000 0.0000 0.0000  4 Co 2.34
Ta 0.0000 0.5000 0.2500  4 Co 2.34
Ta 0.5000 0.0000 0.7500  4 Co 2.34
Ta 0.5000 0.5000 0.5000  4 Co 2.34
Co 0.2425 0.2500 0.6250  2 Pd 2.30, 2 Ta 2.34
Co 0.2500 0.7425 0.8750  2 Pd 2.30, 2 Ta 2.34
Co 0.2500 0.7575 0.3750  2 Pd 2.30, 2 Ta 2.34
Co 0.2575 0.2500 0.1250  2 Pd 2.30, 2 Ta 2.34
Co 0.7425 0.7500 0.1250  2 Pd 2.30, 2 Ta 2.34
Co 0.7500 0.2425 0.3750  2 Pd 2.30, 2 Ta 2.34
Co 0.7500 0.2575 0.8750  2 Pd 2.30, 2 Ta 2.34
Co 0.7575 0.7500 0.6250  2 Pd 2.30, 2 Ta 2.34
Pd 0.0000 0.0000 0.5000  4 Co 2.30
Pd 0.0000 0.5000 0.7500  4 Co 2.30
Pd 0.5000 0.0000 0.2500  4 Co 2.30
Pd 0.5000 0.5000 0.0000  4 Co 2.30

## Properties
energy of formation: 1.076 eV/atom
energy above the most stable polymorph in this dataset: 1324 meV per atom
V: 76.9 Å³/f.u.